## LiPa2MoO8 (PBE+U)

Data for crystalline LiPa2MoO8 at its relaxed geometry.

Values from the calculation:
- D(E_F) (states/eV/f.u.) = 0.00
- crystal system = monoclinic
- total magnetic moment (μB/cell) = 1.00
- theoretical density (Mg/m³) = 6.87
- E (eV per atom) = -8.4258

Lattice parameters (Å, degrees): 4.8704 4.8701 7.0642 90.83 89.17 91.74
With the nearest neighbours (Å) after each atom.
Fractional positions:
O: 0.1927 0.8060 0.2158  1 Mo 2.06, 1 Pa 2.11
Mo: 0.0000 0.0000 0.0000  6 O 1.92-2.06
Pa: 0.5082 0.4917 0.7460  6 O 2.11-2.24
Li: 0.0000 0.0000 0.5000  2 O 2.10
O: 0.3029 0.3018 0.0000  1 Mo 2.05, 2 Pa 2.24
O: 0.6971 0.6982 0.0000  1 Mo 2.05, 2 Pa 2.24
O: 0.8073 0.1940 0.7842  1 Mo 2.06, 1 Pa 2.11
O: 0.6897 0.6907 0.5001  1 Li 2.10, 2 Pa 2.17
Pa: 0.4918 0.5083 0.2540  6 O 2.11-2.24
O: 0.3103 0.3093 0.4999  1 Li 2.10, 2 Pa 2.17
O: 0.8096 0.1914 0.1991  1 Mo 1.92
O: 0.1904 0.8086 0.8009  1 Mo 1.92